1.
First-principles (PBE) data for an optimized crystal structure of ZnOs2, as listed in Alexandria via LeMat-Bulk.

a b c (Å): 7.0500 7.0500 4.3947
angles (deg): 90.00 90.00 157.09
Fractional positions:
Os 0.0540 0.9460 0.7500
Os 0.7181 0.2819 0.7500
Os 0.9460 0.0540 0.2500
Os 0.2819 0.7181 0.2500
Zn 0.6102 0.3898 0.2500
Zn 0.3898 0.6102 0.7500

Properties
**N(E_F)**: 2.3 states/eV/f.u.
**Theoretical density**: 17.42 g cm⁻³
**SG**: No. 63
**Energy relative to the lowest polymorph listed for this composition**: 134 meV per atom
**Energy**: -45.9 eV per cell

***

2.
First-principles (PBE) data for an optimized crystal structure of ZnOs2, as listed in Alexandria via LeMat-Bulk.

a b c (Å): 4.9011 4.9011 4.9011
angles (deg): 102.15 102.15 125.38
Fractional positions:
Os 0.1425 0.6425 0.7849
Os 0.6425 0.8575 0.5000
Os 0.8575 0.3575 0.2151
Os 0.3575 0.1425 0.5000
Zn 0.2500 0.2500 0.0000
Zn 0.7500 0.7500 0.0000

Properties
**N(E_F)**: 2.5 states/eV/f.u.
**Theoretical density**: 17.36 g cm⁻³
**SG**: No. 140
**Energy relative to the lowest polymorph listed for this composition**: 388 meV per atom
**Energy**: -44.3 eV per cell

***

3.
First-principles (PBE) data for an optimized crystal structure of Zn3Os4, as listed in Alexandria via LeMat-Bulk.

a b c (Å): 4.7086 4.7086 5.0801
angles (deg): 90.00 90.00 120.00
Fractional positions:
Os 0.0000 0.0000 0.7356
Os 0.6667 0.3333 0.5000
Os 0.3333 0.6667 0.5000
Os 0.0000 0.0000 0.2644
Zn 0.0000 0.5000 0.0000
Zn 0.5000 0.5000 0.0000
Zn 0.5000 0.0000 0.0000

Properties
**N(E_F)**: 4.6 states/eV/f.u.
**Theoretical density**: 16.29 g cm⁻³
**SG**: No. 191
**Energy**: -45.7 eV per cell